# BaYSnSbO6

A relaxed structure of BaYSnSbO6 (PBE-GGA, Alexandria via LeMat-Bulk).

POSCAR file:
```
BaYSnSbO6
1.0
-3.018 4.139 3.094
-0.875 5.437 -2.341
-5.474 1.653 -1.764
Sn O Ba Sb Y
1 6 1 1 1
Cartesian
-7.026 8.422 -0.758 Sn
-4.267 7.701 0.157 O
-6.690 5.708 0.461 O
-2.678 5.521 -1.472 O
-3.806 4.837 1.390 O
-5.100 3.527 -1.168 O
-5.561 6.392 -2.401 O
-2.342 2.807 -0.253 Ba
0.000 0.000 0.000 Sb
-4.684 5.614 -0.506 Y
```

raw total energy	-6.81	eV per atom
excess energy over the best structure of this formula in the dataset	0.0163	eV/atom
SG	F-43m (216)
size of the total moment	0.00	μB per cell
energy relative to the elements, uncorrected	-2.185	eV per atom